Density functional theory data (PBE) for PaRe2B4 after structural relaxation.

Cell: 5.658 5.600 6.379 Å, 116.04 108.50 90.00°
Fractional positions:
Re  0.175  0.809  0.476
Re  0.325  0.334  0.524
Re  0.825  0.191  0.524
Re  0.675  0.666  0.476
B  0.799  0.756  0.169
B  0.701  0.587  0.831
B  0.201  0.244  0.831
B  0.299  0.413  0.169
B  0.012  0.029  0.267
B  0.488  0.762  0.733
B  0.988  0.971  0.733
B  0.512  0.238  0.267
Pa  0.750  0.230  0.000
Pa  0.250  0.770  0.000

Output
Space group: No. 15
Energy relative to the elements, kJ/mol of formula units: -159